No. 1
This record from OQMD describes an optimized crystal structure of BaTcGe2. The functional is GGA-PBE.

```
data_BaTcGe2
_symmetry_space_group_name_H-M 'F -4 3 m'
_symmetry_Int_Tables_number 216
_symmetry_space_group_name_Hall 'F -4 2 3'
_cell_length_a 7.038
_cell_length_b 7.038
_cell_length_c 7.038
_cell_angle_alpha 90.00
_cell_angle_beta 90.00
_cell_angle_gamma 90.00
loop_
_atom_site_label
_atom_site_type_symbol
_atom_site_fract_x
_atom_site_fract_y
_atom_site_fract_z
Ba1 Ba 0.000 0.000 0.000
Tc1 Tc 0.250 0.250 0.750
Ge1 Ge 0.000 0.000 0.500
Ge2 Ge 0.250 0.250 0.250
```

***

No. 2
This record from OQMD describes an optimized crystal structure of BaThGe. The functional is GGA-PBE.

```
data_BaThGe
_symmetry_space_group_name_H-M 'F -4 3 m'
_symmetry_Int_Tables_number 216
_symmetry_space_group_name_Hall 'F -4 2 3'
_cell_length_a 7.438
_cell_length_b 7.438
_cell_length_c 7.438
_cell_angle_alpha 90.00
_cell_angle_beta 90.00
_cell_angle_gamma 90.00
loop_
_atom_site_label
_atom_site_type_symbol
_atom_site_fract_x
_atom_site_fract_y
_atom_site_fract_z
Ba1 Ba 0.000 0.000 0.000
Th1 Th 0.000 0.000 0.500
Ge1 Ge 0.250 0.250 0.250
```

***

No. 3
This record from OQMD describes an optimized crystal structure of BaTmGe. The functional is GGA-PBE.

```
data_BaTmGe
_symmetry_space_group_name_H-M 'F -4 3 m'
_symmetry_Int_Tables_number 216
_symmetry_space_group_name_Hall 'F -4 2 3'
_cell_length_a 7.512
_cell_length_b 7.512
_cell_length_c 7.512
_cell_angle_alpha 90.00
_cell_angle_beta 90.00
_cell_angle_gamma 90.00
loop_
_atom_site_label
_atom_site_type_symbol
_atom_site_fract_x
_atom_site_fract_y
_atom_site_fract_z
Ba1 Ba 0.000 0.000 0.000
Tm1 Tm 0.250 0.250 0.250
Ge1 Ge 0.250 0.250 0.750
```

***

No. 4
This record from OQMD describes an optimized crystal structure of BaTmGe. The functional is GGA-PBE.

```
data_BaTmGe
_symmetry_space_group_name_H-M 'F -4 3 m'
_symmetry_Int_Tables_number 216
_symmetry_space_group_name_Hall 'F -4 2 3'
_cell_length_a 7.428
_cell_length_b 7.428
_cell_length_c 7.428
_cell_angle_alpha 90.00
_cell_angle_beta 90.00
_cell_angle_gamma 90.00
loop_
_atom_site_label
_atom_site_type_symbol
_atom_site_fract_x
_atom_site_fract_y
_atom_site_fract_z
Ba1 Ba 0.000 0.000 0.000
Tm1 Tm 0.000 0.000 0.500
Ge1 Ge 0.250 0.250 0.250
```

***

No. 5
This record from OQMD describes an optimized crystal structure of BaGe3W4. The functional is GGA-PBE.

```
data_BaGe3W4
_symmetry_space_group_name_H-M 'P 4/m m m'
_symmetry_Int_Tables_number 123
_symmetry_space_group_name_Hall '-P 4 2'
_cell_length_a 3.893
_cell_length_b 3.893
_cell_length_c 10.911
_cell_angle_alpha 90.00
_cell_angle_beta 90.00
_cell_angle_gamma 90.00
loop_
_atom_site_label
_atom_site_type_symbol
_atom_site_fract_x
_atom_site_fract_y
_atom_site_fract_z
Ba1 Ba 0.000 0.000 0.000
Ge1 Ge 0.000 0.000 0.500
Ge2 Ge 0.500 0.500 0.175
W1 W 0.000 0.500 0.337
```

***

No. 6
# BaGeW (GGA-PBE, relaxed)
# **Polymorph energy (0 for the lowest one)**: 0.000 eV/atom
data_BaGeW
_symmetry_space_group_name_H-M 'F -4 3 m'
_symmetry_Int_Tables_number 216
_symmetry_space_group_name_Hall 'F -4 2 3'
_cell_length_a 6.912
_cell_length_b 6.912
_cell_length_c 6.912
_cell_angle_alpha 90.00
_cell_angle_beta 90.00
_cell_angle_gamma 90.00
loop_
_atom_site_label
_atom_site_type_symbol
_atom_site_fract_x
_atom_site_fract_y
_atom_site_fract_z
Ba1 Ba 0.000 0.000 0.000
Ge1 Ge 0.250 0.250 0.250
W1 W 0.000 0.000 0.500

***

No. 7
This record from OQMD describes an optimized crystal structure of BaZnGe. The functional is GGA-PBE.

```
data_BaZnGe
_symmetry_space_group_name_H-M 'P 63/m m c'
_symmetry_Int_Tables_number 194
_symmetry_space_group_name_Hall '-P 6c 2c'
_cell_length_a 4.4737
_cell_length_b 4.4737
_cell_length_c 9.7867
_cell_angle_alpha 90.00
_cell_angle_beta 90.00
_cell_angle_gamma 120.00
loop_
_atom_site_label
_atom_site_type_symbol
_atom_site_fract_x
_atom_site_fract_y
_atom_site_fract_z
Ba1 Ba 0.0000 0.0000 0.0000
Zn1 Zn 0.3333 0.6667 0.2500
Ge1 Ge 0.3333 0.6667 0.7500
```

***

No. 8
This record from OQMD describes an optimized crystal structure of BaZnGe. The functional is GGA-PBE.

```
data_BaZnGe
_symmetry_space_group_name_H-M 'P -6 2 m'
_symmetry_Int_Tables_number 189
_symmetry_space_group_name_Hall 'P -6 -2'
_cell_length_a 7.5688
_cell_length_b 7.5688
_cell_length_c 4.8808
_cell_angle_alpha 90.00
_cell_angle_beta 90.00
_cell_angle_gamma 120.00
loop_
_atom_site_label
_atom_site_type_symbol
_atom_site_fract_x
_atom_site_fract_y
_atom_site_fract_z
Ba1 Ba 0.0000 0.5681 0.0000
Zn1 Zn 0.0000 0.2382 0.5000
Ge1 Ge 0.0000 0.0000 0.0000
Ge2 Ge 0.3333 0.6667 0.5000
```

***

Number 1: raw total energy -75.4 eV per cell. Number 2: raw total energy -56.3 eV per cell. Number 3: raw total energy -37.8 eV per cell. Number 4: raw total energy -46.8 eV per cell. Number 5: raw total energy -65.2 eV per cell. Number 6: raw total energy -63.6 eV per cell. Number 7: raw total energy -18.6 eV per cell. Number 8: raw total energy -26.0 eV per cell.